Density functional theory data (GGA-PBEsol) for a relaxed structure of SrSi2MoRu.

Cell lengths 4.624, 5.076, 5.076 Å; angles 90.00, 90.00, 90.00 degrees
Site moments in Bohr magnetons follow the coordinates.
Fractional positions:
Si (0.000, 0.000, 0.500)  -0.04
Sr (0.000, 0.000, 0.000)  -0.01
Si (0.000, 0.500, 0.000)  -0.04
Mo (0.500, 0.500, 0.500)  3.15
Ru (0.500, 0.000, 0.000)  -0.04

Total moment in μB per cell: 3.35
VASP energy in Ry per atom: -0.324
Space group: P4/mmm (123)
Formation energy from raw total energies in meV per atom: 2643

Density functional theory data (GGA-PBEsol) for a relaxed structure of SnMoRu3.

Cell lengths 4.667, 4.667, 4.667 Å; angles 90.00, 90.00, 90.00 degrees
Site moments in Bohr magnetons follow the coordinates.
Fractional positions:
Ru (0.000, 0.500, 0.000)  -0.81
Ru (0.500, 0.000, 0.000)  -0.81
Mo (0.500, 0.500, 0.500)  2.42
Sn (0.000, 0.000, 0.000)  0.02
Ru (0.000, 0.000, 0.500)  -0.81

Total moment in μB per cell: 0.23
VASP energy in Ry per atom: -0.515
Space group: Pm-3m (221)
Formation enthalpy at 0 K in eV/atom: 2.302

Density functional theory data (GGA-PBEsol) for a relaxed structure of SrMoRu2.

Cell lengths 2.761, 2.761, 9.073 Å; angles 90.00, 90.00, 90.00 degrees
Fractional positions:
Ru (0.500, 0.500, 0.202)
Sr (0.000, 0.000, 0.484)
Mo (0.500, 0.500, 0.792)
Ru (0.000, 0.000, 0.022)

Total moment in μB per cell: 0.00
VASP energy in Ry per atom: -0.573
Space group: P4mm (99)
Formation enthalpy at 0 K in eV/atom: 0.689

Density functional theory data (GGA-PBEsol) for a relaxed structure of SrMo2Ru.

Cell lengths 3.063, 4.927, 5.929 Å; angles 104.64, 90.00, 108.11 degrees
Fractional positions:
Mo (0.039, 0.077, 0.103)
Sr (0.241, 0.483, 0.740)
Ru (0.471, 0.942, 0.402)
Mo (0.749, 0.498, 0.255)

Total moment in μB per cell: 0.00
VASP energy in Ry per atom: -0.601
Space group: Cm (8)
Distance to the lowest polymorph of the same formula in meV/atom: 0.0
Formation enthalpy at 0 K in eV/atom: 0.712

Density functional theory data (GGA-PBEsol) for a relaxed structure of SrMoRu.

Cell lengths 3.200, 3.200, 6.470 Å; angles 104.32, 104.32, 90.00 degrees
Fractional positions:
Mo (0.040, 0.040, 0.080)
Sr (0.331, 0.331, 0.661)
Ru (0.629, 0.629, 0.258)

Total moment in μB per cell: 0.00
VASP energy in Ry per atom: -0.544
Space group: I4mm (107)
Formation enthalpy at 0 K in eV/atom: 0.522

Density functional theory data (GGA-PBEsol) for a relaxed structure of SrMo2Ru.

Cell lengths 2.751, 5.341, 5.527 Å; angles 115.50, 98.44, 102.19 degrees
Fractional positions:
Sr (0.000, 0.500, 0.000)
Ru (0.500, 0.000, 0.000)
Mo (0.500, 0.500, 0.500)
Mo (0.000, 0.000, 0.500)

Total moment in μB per cell: 0.00
VASP energy in Ry per atom: -0.581
Space group: C2/m (12)
Distance to the lowest polymorph of the same formula in meV/atom: 268.5
Formation enthalpy at 0 K in eV/atom: 0.981

Density functional theory data (GGA-PBEsol) for a relaxed structure of TaMo2Ru.

Cell lengths 4.427, 4.427, 4.427 Å; angles 60.00, 60.00, 60.00 degrees
Fractional positions:
Mo (0.250, 0.250, 0.250)
Ru (0.000, 0.000, 0.000)
Ta (0.500, 0.500, 0.500)
Mo (0.750, 0.750, 0.750)

Total moment in μB per cell: 0.00
VASP energy in Ry per atom: -0.844
Space group: Fm-3m (225)
Distance to the lowest polymorph of the same formula in meV/atom: 175.8
Formation enthalpy at 0 K in eV/atom: 0.080

Density functional theory data (GGA-PBEsol) for a relaxed structure of Ta2MoRu.

Cell lengths 3.166, 3.166, 6.327 Å; angles 90.00, 90.00, 90.00 degrees
Fractional positions:
Ta (0.000, 0.000, 0.753)
Ru (0.500, 0.500, 0.500)
Mo (0.500, 0.500, 0.000)
Ta (0.000, 0.000, 0.247)

Total moment in μB per cell: 0.00
VASP energy in Ry per atom: -0.888
Space group: P4/mmm (123)
Distance to the lowest polymorph of the same formula in meV/atom: 25.7
Formation enthalpy at 0 K in eV/atom: -0.328